Pr2NdCd3Ga2Au after structural relaxation, computed with PBE.

The structure in POSCAR format:
```
Pr2NdCd3Ga2Au
1.0
-2.772 -1.606 3.109
3.914 -6.464 0.150
1.895 5.674 4.621
Nd Ga Au Pr Cd
1 2 1 2 3
direct
0.000 0.412 0.412
0.500 0.334 0.666
0.500 0.666 0.334
0.000 0.001 0.001
0.000 0.000 0.588
0.000 0.588 0.000
0.500 0.251 0.001
0.500 0.748 0.748
0.500 0.001 0.251
```

Calculated values
VASP energy = -3.497 eV/atom
Crystal system = orthorhombic
Magnetization = 0.0 μB per cell